Below is a geometry-optimized MgCoAs structure, with properties calculated at the PBE-GGA level.

Output
- Symmetry: P1, No. 1
- Total moment: 0.00 μB per atom
- Energy relative to the elements: -261 meV/atom
- Total DFT energy (no corrections): -4.711 eV per atom

abc: 3.7801 5.5835 6.5997
angles: 129.28 106.64 90.05
Positions (direct):
Mg 0.5426 0.4760 0.0034
Mg 0.7791 0.3171 0.4734
As 0.8454 0.9003 0.6080
As 0.0742 0.8978 0.0652
Co 0.4530 0.8752 0.8229
Co 0.2627 0.9326 0.4425

***

Below is a geometry-optimized Mg2CoAs structure, with properties calculated at the PBE-GGA level.

Output
- Symmetry: R-3m, No. 166
- Total moment: 0.31 μB per atom
- Energy relative to the elements: 97 meV/atom
- Total DFT energy (no corrections): -3.639 eV per atom

abc: 8.7293 8.7293 8.7293
angles: 20.09 20.09 20.09
Last column: magnetic moment on the atom in μB.
Positions (direct):
Co 0.7500 0.7500 0.7500  1.36
Mg 0.0069 0.0069 0.0069  -0.01
Mg 0.4931 0.4931 0.4931  -0.01
As 0.2500 0.2500 0.2500  -0.01

***

Below is a geometry-optimized Mg4CoAs structure, with properties calculated at the PBE-GGA level.

Output
- Symmetry: F-43m, No. 216
- Total moment: 0.12 μB per atom
- Energy relative to the elements: 411 meV/atom
- Total DFT energy (no corrections): -2.611 eV per atom

abc: 5.5054 5.5054 5.5054
angles: 60.00 60.00 60.00
Last column: magnetic moment on the atom in μB.
Positions (direct):
Mg 0.3744 0.3744 0.8768  -0.02
Mg 0.3744 0.8768 0.3744  -0.02
Mg 0.8768 0.3744 0.3744  -0.02
Mg 0.3744 0.3744 0.3744  -0.02
As 0.7500 0.7500 0.7500  -0.02
Co 0.0000 0.0000 0.0000  1.37

***

Copy entry 3 word for word.
Below is a geometry-optimized Mg4CoAs structure, with properties calculated at the PBE-GGA level.

Output
- Symmetry: F-43m, No. 216
- Total moment: 0.12 μB per atom
- Energy relative to the elements: 411 meV/atom
- Total DFT energy (no corrections): -2.611 eV per atom

abc: 5.5054 5.5054 5.5054
angles: 60.00 60.00 60.00
Last column: magnetic moment on the atom in μB.
Positions (direct):
Mg 0.3744 0.3744 0.8768  -0.02
Mg 0.3744 0.8768 0.3744  -0.02
Mg 0.8768 0.3744 0.3744  -0.02
Mg 0.3744 0.3744 0.3744  -0.02
As 0.7500 0.7500 0.7500  -0.02
Co 0.0000 0.0000 0.0000  1.37

***

Which of these has the highest total DFT energy (no corrections)? Mg4CoAs

***

Among the records above, which one has the lowest total moment? MgCoAs